# 1
PPtCl2F: optimized geometry, PBE.

Geometry as POSCAR:
```
PPtCl2F
1.0
4.944 0.000 0.000
0.000 4.944 0.000
0.000 0.000 4.515
P Pt Cl F
1 1 2 1
direct
0.000 0.000 0.500
0.000 0.000 0.000
0.500 0.000 0.000
0.000 0.500 0.000
0.500 0.500 0.500
```

Calculated values
uncorrected formation energy = 0.18 eV per atom
crystal system = tetragonal
SG = P4/mmm (123)
volume = 110.3 Å³/f.u.



# 2
P2PtClF: optimized geometry, PBE.

Geometry as POSCAR:
```
P2PtClF
1.0
-2.626 -1.910 3.284
3.580 0.093 2.917
-1.376 4.546 1.544
P F Cl Pt
2 1 1 1
direct
0.000 0.500 0.000
0.500 0.000 0.000
0.500 0.500 0.500
0.000 0.000 0.500
0.000 0.000 0.000
```

Calculated values
uncorrected formation energy = 0.39 eV per atom
crystal system = tetragonal
SG = P4/mmm (123)
volume = 106.5 Å³/f.u.